Record 1
A plane-wave DFT calculation with PBE-GGA was carried out for a geometry-optimized NdZrCd structure.

The space group is P3m1 (No. 156) and the conventional cell measures 5.1791, 5.1791 and 3.4720 Å, with angles of 90.00, 90.00 and 120.00 degrees. The distinct sites, in fractional coordinates, are Nd at (0.0000, 0.0000, 0.0000), Zr at (0.3333, 0.6667, 0.5009) and Cd at (0.6667, 0.3333, 0.4980).

The value obtained for the relative energy among the computed polymorphs is 155 meV per atom. The calculation puts the total energy at -4.66 eV per atom. The calculation puts the formation energy at 0.087 eV/atom.

---

Record 2
A plane-wave DFT calculation with PBE-GGA was carried out for a geometry-optimized CaSmPd structure.

The space group is F-43m (No. 216) and the conventional cell measures 7.0445, 7.0445 and 7.0445 Å, with angles of 90.00, 90.00 and 90.00 degrees. The distinct sites, in fractional coordinates, are Ca at (0.0000, 0.0000, 0.0000), Sm at (0.0000, 0.0000, 0.5000) and Pd at (0.2500, 0.2500, 0.2500).

The value obtained for the relative energy among the computed polymorphs is 100 meV per atom. The calculation puts the total energy at -4.40 eV per atom. The calculation puts the formation energy at -0.432 eV/atom.

---

Record 3
A plane-wave DFT calculation with PBE-GGA was carried out for a geometry-optimized LiLa2AlNi structure.

The space group is P4/mmm (No. 123) and the conventional cell measures 5.4774, 5.4774 and 4.6198 Å, with angles of 90.00, 90.00 and 90.00 degrees. The distinct sites, in fractional coordinates, are Li at (0.0000, 0.0000, 0.0000), La at (0.0000, 0.5000, 0.5000), Al at (0.5000, 0.5000, 0.0000) and Ni at (0.5000, 0.5000, 0.5000).

The calculation puts the total energy at -4.43 eV per atom. The calculation puts the formation energy at -0.173 eV/atom.

---

> Which formula does entry 3 have?

LiLa2AlNi